Material: La2Nd5Dy4
Method: DFT, PBE-GGA
State: optimized geometry

## Properties
VASP energy = -100.55 eV per cell

Unit cell a=3.5556 b=9.2652 c=23.7710 alpha=90.00 beta=90.00 gamma=90.00
Space group Immm (No. 71)
Inequivalent atoms, fractional coordinates:
1 La 0.0000 0.0000 0.2331 (multiplicity 4)
2 Nd 0.0000 0.1951 0.3586 (multiplicity 8)
3 Nd 0.0000 0.5000 0.0000 (multiplicity 2)
4 Dy 0.0000 0.0000 0.0972 (multiplicity 4)
5 Dy 0.0000 0.3145 0.5000 (multiplicity 4)

=====

Material: KMg3Br
Method: DFT, PBE-GGA
State: optimized geometry

## Properties
VASP energy = -4.77 eV per cell

Unit cell a=6.7254 b=6.7254 c=6.7254 alpha=90.00 beta=90.00 gamma=90.00
Space group Pm-3m (No. 221)
Inequivalent atoms, fractional coordinates:
1 K 0.0000 0.0000 0.0000 (multiplicity 1)
2 Mg 0.0000 0.0000 0.5000 (multiplicity 3)
3 Br 0.5000 0.5000 0.5000 (multiplicity 1)